Model w:
This record from Alexandria via LeMat-Bulk describes PmYNiPt after structural relaxation. The functional is GGA-PBE.

Computed properties:
* magnetic moment: 0.00 μB/cell

abc: 4.4007 3.8963 10.3813
angles: 90.00 90.00 90.00
Last column: nearest neighbours and their distance in Å.
Space group Amm2 (No. 38)
Unique sites:
Pm 0.0000 0.0000 0.0000 (multiplicity 2)  3 Ni 2.90-3.01, 4 Pt 3.02
Y 0.5000 0.0000 0.2801 (multiplicity 2)  3 Pt 2.96-2.97, 4 Ni 3.00
Ni 0.0000 0.0000 0.7205 (multiplicity 2)  2 Pt 2.72, 3 Pm 2.90-3.01, 4 Y 3.00
Pt 0.5000 0.0000 0.5660 (multiplicity 2)  2 Ni 2.72, 3 Y 2.96-2.97, 4 Pm 3.02


Model x:
This record from Alexandria via LeMat-Bulk describes PmYNiPt after structural relaxation. The functional is GGA-PBE.

Computed properties:
* magnetic moment: 0.00 μB/cell

abc: 7.0002 7.0002 7.0002
angles: 90.00 90.00 90.00
Last column: nearest neighbours and their distance in Å.
Space group F-43m (No. 216)
Unique sites:
Pm 0.0000 0.0000 0.0000 (multiplicity 4)  4 Ni 3.03, 4 Pt 3.03
Y 0.0000 0.0000 0.5000 (multiplicity 4)  4 Pt 3.03, 4 Ni 3.03
Ni 0.2500 0.2500 0.2500 (multiplicity 4)  4 Pm 3.03, 4 Y 3.03
Pt 0.2500 0.2500 0.7500 (multiplicity 4)  4 Pm 3.03, 4 Y 3.03


Most stable to least stable, the ends of the list are model w and model x.


Model w:
This record from Alexandria via LeMat-Bulk describes PmPuNi2 after structural relaxation. The functional is GGA-PBE.

Computed properties:
* magnetic moment: 5.58 μB/cell

abc: 3.4043 3.4043 6.8364
angles: 90.00 90.00 90.00
Last column: nearest neighbours and their distance in Å.
Space group P4/mmm (No. 123)
Unique sites:
Pm 0.0000 0.0000 0.0000 (multiplicity 1)  8 Ni 3.02
Pu 0.0000 0.0000 0.5000 (multiplicity 1)  8 Ni 2.89
Ni 0.5000 0.5000 0.2662 (multiplicity 2)  4 Pu 2.89, 4 Pm 3.02, 1 Ni 3.20


Model x:
This record from Alexandria via LeMat-Bulk describes PmPuNi2 after structural relaxation. The functional is GGA-PBE.

Computed properties:
* magnetic moment: 15.79 μB/cell

abc: 4.5420 4.5420 13.6924
angles: 90.00 90.00 120.00
Last column: nearest neighbours and their distance in Å.
Space group R-3m (No. 166, hexagonal axes)
Unique sites:
Pm 0.0000 0.0000 0.0000 (multiplicity 3)  8 Ni 3.03-3.05
Pu 0.0000 0.0000 0.5000 (multiplicity 3)  6 Ni 2.73
Ni 0.0000 0.0000 0.2229 (multiplicity 6)  3 Pu 2.73, 4 Pm 3.03-3.05, 3 Ni 3.04


Most stable to least stable, the ends of the list are model w and model x.


Model w:
This record from Alexandria via LeMat-Bulk describes PmNiRh after structural relaxation. The functional is GGA-PBE.

Computed properties:
* magnetic moment: 0.00 μB/cell

abc: 4.1555 4.1555 3.9219
angles: 90.00 90.00 120.00
Last column: nearest neighbours and their distance in Å.
Space group P-6m2 (No. 187)
Unique sites:
Pm 0.0000 0.0000 0.0000 (multiplicity 1)  6 Ni 3.10, 6 Rh 3.10
Ni 0.3333 0.6667 0.5000 (multiplicity 1)  3 Rh 2.40
Rh 0.6667 0.3333 0.5000 (multiplicity 1)  3 Ni 2.40


Model x:
This record from Alexandria via LeMat-Bulk describes PmNiRh after structural relaxation. The functional is GGA-PBE.

Computed properties:
* magnetic moment: 0.00 μB/cell

abc: 3.4255 3.4255 9.4500
angles: 90.00 90.00 90.00
Last column: nearest neighbours and their distance in Å.
Space group I4mm (No. 107)
Unique sites:
Pm 0.0000 0.0000 0.0000 (multiplicity 2)  5 Ni 2.78-3.11, 5 Rh 2.82-3.08
Ni 0.0000 0.0000 0.7058 (multiplicity 2)  4 Rh 2.58, 1 Pm 2.78
Rh 0.0000 0.0000 0.2983 (multiplicity 2)  4 Ni 2.58, 1 Pm 2.82


Most stable to least stable, the ends of the list are model w and model x.


Model w:
This record from Alexandria via LeMat-Bulk describes PmNiRh after structural relaxation. The functional is GGA-PBE.

Computed properties:
* magnetic moment: 0.00 μB/cell

abc: 5.1240 5.4747 7.4266
angles: 90.00 90.00 90.00
Last column: nearest neighbours and their distance in Å.
Space group Imma (No. 74)
Unique sites:
Pm 0.0000 0.2500 0.1211 (multiplicity 4)  6 Ni 3.04-3.17, 6 Rh 3.04-3.13, 4 Pm 3.20-3.28
Ni 0.2500 0.2500 0.7500 (multiplicity 4)  2 Ni 2.56, 4 Rh 2.64
Rh 0.0000 0.0000 0.5000 (multiplicity 4)  4 Ni 2.64, 2 Rh 2.74


Model x:
This record from Alexandria via LeMat-Bulk describes PmNiRh after structural relaxation. The functional is GGA-PBE.

Computed properties:
* magnetic moment: 0.00 μB/cell

abc: 4.5831 4.0077 6.2591
angles: 90.00 90.00 90.00
Last column: nearest neighbours and their distance in Å.
Space group Pmma (No. 51)
Unique sites:
Pm 0.2500 0.0000 0.2278 (multiplicity 2)  4 Ni 2.87, 6 Rh 3.04-3.10
Ni 0.0000 0.5000 0.5000 (multiplicity 2)  2 Ni 2.29, 2 Rh 2.54
Rh 0.2500 0.5000 0.8617 (multiplicity 2)  2 Ni 2.54


Most stable to least stable, the ends of the list are model w and model x.


Model w:
This record from Alexandria via LeMat-Bulk describes Pm3Ni2Rh after structural relaxation. The functional is GGA-PBE.

Computed properties:
* magnetic moment: 0.00 μB/cell

abc: 11.6006 3.9999 11.7628
angles: 90.00 90.00 90.00
Last column: nearest neighbours and their distance in Å.
Space group Pnma (No. 62)
Unique sites:
Pm 0.0573 0.2500 0.1227 (multiplicity 4)  5 Ni 2.90-3.08, 1 Rh 3.05
Pm 0.1218 0.7500 0.5589 (multiplicity 4)  3 Rh 2.97-2.98, 5 Ni 3.01-3.24
Pm 0.2071 0.2500 0.8089 (multiplicity 4)  2 Rh 2.89, 3 Ni 2.89-2.96
Ni 0.0136 0.7500 0.3047 (multiplicity 4)  2 Rh 2.51
Ni 0.1815 0.7500 0.9926 (multiplicity 4)  1 Rh 2.65, 4 Pm 2.90-2.96
Rh 0.1254 0.2500 0.3729 (multiplicity 4)  3 Ni 2.51-2.65


Model x:
This record from Alexandria via LeMat-Bulk describes Pm3Ni2Rh after structural relaxation. The functional is GGA-PBE.

Computed properties:
* magnetic moment: 0.00 μB/cell

abc: 3.4759 3.4759 10.5651
angles: 90.00 90.00 90.00
Last column: nearest neighbours and their distance in Å.
Space group P4/mmm (No. 123)
Unique sites:
Pm 0.0000 0.0000 0.0000 (multiplicity 1)  8 Ni 3.01
Pm 0.0000 0.0000 0.3329 (multiplicity 2)  4 Rh 3.03, 4 Ni 3.03
Ni 0.5000 0.5000 0.1648 (multiplicity 2)  8 Pm 3.01-3.03
Rh 0.5000 0.5000 0.5000 (multiplicity 1)  8 Pm 3.03


Most stable to least stable, the ends of the list are model w and model x.


Model w:
This record from Alexandria via LeMat-Bulk describes PmNiRh4 after structural relaxation. The functional is GGA-PBE.

Computed properties:
* magnetic moment: 0.00 μB/cell

abc: 7.6692 3.9003 6.6288
angles: 90.00 90.00 90.00
Last column: nearest neighbours and their distance in Å.
Space group Pmma (No. 51)
Unique sites:
Pm 0.2500 0.0000 0.1274 (multiplicity 2)  1 Ni 2.66, 2 Rh 2.94
Ni 0.2500 0.0000 0.7258 (multiplicity 2)  8 Rh 2.43-2.63, 1 Pm 2.66
Rh 0.0000 0.0000 0.5000 (multiplicity 2)  2 Ni 2.43
Rh 0.0497 0.5000 0.7937 (multiplicity 4)  2 Ni 2.52, 3 Rh 2.69-2.78
Rh 0.2500 0.5000 0.4598 (multiplicity 2)  2 Ni 2.63, 8 Rh 2.69-2.85, 2 Pm 2.94


Model x:
This record from Alexandria via LeMat-Bulk describes PmNiRh4 after structural relaxation. The functional is GGA-PBE.

Computed properties:
* magnetic moment: 7.10 μB/cell

abc: 7.4127 7.4127 7.4127
angles: 90.00 90.00 90.00
Last column: nearest neighbours and their distance in Å.
Space group F-43m (No. 216)
Unique sites:
Pm 0.0000 0.0000 0.0000 (multiplicity 4)  12 Rh 3.07, 4 Ni 3.21
Ni 0.2500 0.2500 0.7500 (multiplicity 4)  12 Rh 3.07, 4 Pm 3.21
Rh 0.1244 0.1244 0.3756 (multiplicity 16)  6 Rh 2.61-2.63


Most stable to least stable, the ends of the list are model w and model x.


Model w:
This record from Alexandria via LeMat-Bulk describes Pm2Ni2Rh after structural relaxation. The functional is GGA-PBE.

Computed properties:
* magnetic moment: 0.00 μB/cell

abc: 10.4670 4.1101 10.6468
angles: 90.00 115.82 90.00
Last column: nearest neighbours and their distance in Å.
Space group C2/m (No. 12)
Unique sites:
Pm 0.0980 0.0000 0.3954 (multiplicity 4)  6 Ni 2.96-3.06, 2 Rh 3.00
Pm 0.1976 0.5000 0.1400 (multiplicity 4)  4 Rh 3.01-3.13, 7 Ni 3.05-3.30
Ni 0.0383 0.0000 0.9142 (multiplicity 4)  1 Ni 2.29, 2 Rh 2.43
Ni 0.1176 0.5000 0.6025 (multiplicity 4)  1 Rh 2.47, 1 Ni 2.48
Rh 0.0768 0.5000 0.8141 (multiplicity 4)  3 Ni 2.43-2.47


Model x:
This record from Alexandria via LeMat-Bulk describes Pm2Ni2Rh after structural relaxation. The functional is GGA-PBE.

Computed properties:
* magnetic moment: 0.00 μB/cell

abc: 7.0010 7.0010 3.9241
angles: 90.00 90.00 90.00
Last column: nearest neighbours and their distance in Å.
Space group P4/mbm (No. 127)
Unique sites:
Pm 0.1858 0.3142 0.0000 (multiplicity 4)  6 Ni 2.75-2.94
Ni 0.1191 0.6191 0.5000 (multiplicity 4)  1 Ni 2.36
Rh 0.0000 0.0000 0.5000 (multiplicity 2)  4 Ni 2.79


Most stable to least stable, the ends of the list are model w and model x.


Model w:
This record from Alexandria via LeMat-Bulk describes TbPmNiRh after structural relaxation. The functional is GGA-PBE.

Computed properties:
* magnetic moment: 0.00 μB/cell

abc: 4.1333 3.8849 10.7702
angles: 90.00 90.00 90.00
Last column: nearest neighbours and their distance in Å.
Space group Amm2 (No. 38)
Unique sites:
Tb 0.0000 0.0000 0.0000 (multiplicity 2)  4 Rh 2.91, 3 Ni 3.03-3.07
Pm 0.5000 0.0000 0.2809 (multiplicity 2)  4 Ni 2.92, 3 Rh 2.99-3.08
Ni 0.0000 0.0000 0.7154 (multiplicity 2)  2 Rh 2.67, 4 Pm 2.92
Rh 0.5000 0.0000 0.5585 (multiplicity 2)  2 Ni 2.67, 4 Tb 2.91


Model x:
This record from Alexandria via LeMat-Bulk describes TbPmNiRh after structural relaxation. The functional is GGA-PBE.

Computed properties:
* magnetic moment: 0.00 μB/cell

abc: 6.9275 6.9275 6.9275
angles: 90.00 90.00 90.00
Last column: nearest neighbours and their distance in Å.
Space group F-43m (No. 216)
Unique sites:
Tb 0.0000 0.0000 0.0000 (multiplicity 4)  4 Ni 3.00, 4 Rh 3.00
Pm 0.0000 0.0000 0.5000 (multiplicity 4)  4 Ni 3.00, 4 Rh 3.00
Ni 0.2500 0.2500 0.7500 (multiplicity 4)  4 Tb 3.00, 4 Pm 3.00
Rh 0.2500 0.2500 0.2500 (multiplicity 4)  4 Tb 3.00, 4 Pm 3.00


Most stable to least stable, the ends of the list are model w and model x.